This record from Alexandria via LeMat-Bulk describes a relaxed structure of LiMnSiO4. The functional is GGA+U.

Values from the calculation:
Energy above the lowest structure with this stoichiometry: 0.0484 eV per atom
Calculated volume: 308.0 Å³ per cell
Space-group type: Pnma, No. 62
Total magnetic moment: 0.57 μB per atom

abc: 4.800 6.293 10.199
angles: 90.00 90.00 90.00
Site moments in Bohr magnetons follow the coordinates.
Element x y z (fractional)
Li1 0.548 0.750 0.280  0.00
Li2 0.452 0.250 0.720  0.00
Li3 0.952 0.750 0.780  0.00
Li4 0.048 0.250 0.220  0.00
O1 0.242 0.250 0.908  0.05
O2 0.258 0.750 0.942  -0.05
O3 0.242 0.969 0.148  -0.04
O4 0.242 0.750 0.442  -0.05
O5 0.742 0.250 0.058  -0.05
O6 0.258 0.969 0.648  -0.04
O7 0.742 0.469 0.352  -0.04
O8 0.742 0.750 0.592  0.05
O9 0.258 0.250 0.408  0.05
O10 0.742 0.031 0.352  -0.04
O11 0.758 0.469 0.852  -0.04
O12 0.758 0.750 0.092  0.05
O13 0.258 0.531 0.648  -0.04
O14 0.242 0.531 0.148  -0.04
O15 0.758 0.031 0.852  -0.04
O16 0.758 0.250 0.558  -0.05
Si1 0.594 0.250 0.409  0.01
Si2 0.906 0.250 0.909  0.01
Si3 0.094 0.750 0.091  0.01
Si4 0.406 0.750 0.591  0.01
Mn1 0.500 0.500 0.000  3.96
Mn2 0.500 0.000 0.000  3.96
Mn3 0.000 0.000 0.500  3.96
Mn4 0.000 0.500 0.500  3.96